Record 1
6
Lattice="1.584 -6.697 0.000 1.584 6.697 0.000 0.000 0.000 4.496" Properties=species:S:1:pos:R:3 comment="OsW5 PBE optimized geometry" polymorph_energy_ev_per_fu=0.00 formation_energy_mev_per_atom=116 magmom_total_mub_per_atom=0.0000 pbc="T T T"
Os 0.000 0.000 0.000
W 1.584 4.506 2.248
W 1.584 2.268 0.000
W 1.584 0.000 2.248
W 1.584 -2.268 0.000
W 1.584 -4.506 2.248

=====

Record 2
8
Lattice="4.365 0.000 0.000 -2.182 3.780 0.000 0.000 0.000 7.975" Properties=species:S:1:pos:R:3 comment="OsW PBE optimized geometry" formation_energy_mev_per_atom=818 magmom_total_mub_per_atom=0.0000 pbc="T T T"
Os 0.000 2.520 0.627
Os 0.000 2.520 3.360
Os 2.182 1.260 4.615
Os 2.182 1.260 7.348
W 0.000 0.000 1.994
W 0.000 0.000 5.981
W 0.000 2.520 5.981
W 2.182 1.260 1.994

=====

Record 3
24
Lattice="5.520 0.000 0.000 0.000 13.379 0.000 0.000 0.000 4.798" Properties=species:S:1:pos:R:3 comment="Os3W PBE optimized geometry" formation_energy_mev_per_atom=16 magmom_total_mub_per_atom=0.0000 pbc="T T T"
Os 0.006 3.345 0.013
Os 0.013 1.130 1.606
Os 0.013 5.560 1.606
Os 1.380 1.125 4.013
Os 1.380 5.564 4.013
Os 1.380 10.034 2.406
Os 2.748 1.130 1.606
Os 2.748 5.560 1.606
Os 2.754 3.345 0.013
Os 2.766 10.034 4.785
Os 2.773 7.819 3.192
Os 2.773 12.249 3.192
Os 4.140 3.345 2.391
Os 4.140 7.815 0.784
Os 4.140 12.254 0.784
Os 5.508 7.819 3.192
Os 5.508 12.249 3.192
Os 5.514 10.034 4.785
W 1.380 3.345 2.427
W 1.380 7.856 0.782
W 1.380 12.212 0.782
W 4.140 1.167 4.016
W 4.140 5.523 4.016
W 4.140 10.034 2.370

=====

Record 4
5
Lattice="1.383 0.798 11.405 -1.383 0.798 11.405 0.000 -1.597 11.405" Properties=species:S:1:pos:R:3 comment="Os3W2 PBE optimized geometry" polymorph_energy_ev_per_fu=0.52 formation_energy_mev_per_atom=171 magmom_total_mub_per_atom=0.0000 pbc="T T T"
Os 0.000 0.000 0.000
Os 0.000 0.000 6.822
Os 0.000 0.000 27.392
W 0.000 0.000 13.704
W 0.000 0.000 20.510

=====

Record 5
3
Lattice="-1.569 1.569 5.910 1.569 -1.569 5.910 1.569 1.569 -5.910" Properties=species:S:1:pos:R:3 comment="YOsW PBE optimized geometry" polymorph_energy_ev_per_fu=0.90 formation_energy_mev_per_atom=130 magmom_total_mub_per_atom=0.0000 pbc="T T T"
Y 0.000 0.000 0.000
Os 0.000 0.000 8.145
W 0.000 0.000 3.586

=====

Record 6
5
Lattice="4.677 0.000 0.000 0.000 4.677 0.000 0.000 0.000 4.677" Properties=species:S:1:pos:R:3 comment="YOsW3 PBE optimized geometry" polymorph_energy_ev_per_fu=10.16 formation_energy_mev_per_atom=3424 magmom_total_mub_per_atom=0.0000 pbc="T T T"
Y 0.000 0.000 0.000
Os 2.338 2.338 2.338
W 0.000 0.000 2.338
W 0.000 2.338 0.000
W 2.338 0.000 0.000

=====

Record 7
5
Lattice="5.232 0.000 0.000 0.000 5.232 0.000 0.000 0.000 5.232" Properties=species:S:1:pos:R:3 comment="Y3OsW PBE optimized geometry" polymorph_energy_ev_per_fu=2.40 formation_energy_mev_per_atom=1358 magmom_total_mub_per_atom=0.1973 pbc="T T T"
Y 0.000 0.000 2.616
Y 0.000 2.616 0.000
Y 2.616 0.000 0.000
Os 2.616 2.616 2.616
W 0.000 0.000 0.000

=====

Record 8
4
Lattice="-1.589 2.327 4.830 1.589 -2.327 4.830 1.589 2.327 -4.830" Properties=species:S:1:pos:R:3 comment="YOsW2 PBE optimized geometry" polymorph_energy_ev_per_fu=0.20 formation_energy_mev_per_atom=286 magmom_total_mub_per_atom=0.0000 pbc="T T T"
Y 0.000 0.000 0.000
Os 0.000 0.000 4.830
W 1.589 0.000 2.561
W 0.000 2.327 2.269

=====

Record 9
4
Lattice="2.927 0.000 0.000 0.000 2.927 0.000 0.000 0.000 8.488" Properties=species:S:1:pos:R:3 comment="YOsW2 PBE optimized geometry" polymorph_energy_ev_per_fu=0.65 formation_energy_mev_per_atom=398 magmom_total_mub_per_atom=0.0000 pbc="T T T"
Y 0.000 0.000 0.000
Os 0.000 0.000 4.244
W 1.464 1.464 2.464
W 1.464 1.464 6.024

=====

Record 10
4
Lattice="0.000 3.250 3.250 3.250 0.000 3.250 3.250 3.250 0.000" Properties=species:S:1:pos:R:3 comment="YOsW2 PBE optimized geometry" polymorph_energy_ev_per_fu=0.92 formation_energy_mev_per_atom=464 magmom_total_mub_per_atom=0.0000 pbc="T T T"
Y 0.000 0.000 0.000
Os 3.250 3.250 3.250
W 1.625 1.625 1.625
W 4.875 4.875 4.875

=====

Record 11
3
Lattice="0.000 3.184 3.184 3.184 0.000 3.184 3.184 3.184 0.000" Properties=species:S:1:pos:R:3 comment="YOsW PBE optimized geometry" polymorph_energy_ev_per_fu=1.94 formation_energy_mev_per_atom=476 magmom_total_mub_per_atom=0.0000 pbc="T T T"
Y 0.000 0.000 0.000
Os 1.592 1.592 1.592
W 3.184 3.184 3.184

=====

Record 12
4
Lattice="-1.948 1.948 4.773 1.948 -1.948 4.773 1.948 1.948 -4.773" Properties=species:S:1:pos:R:3 comment="YOsW2 PBE optimized geometry" polymorph_energy_ev_per_fu=1.26 formation_energy_mev_per_atom=549 magmom_total_mub_per_atom=0.0000 pbc="T T T"
Y 0.000 0.000 0.000
Os 0.000 0.000 4.773
W 1.948 0.000 2.386
W 0.000 1.948 2.386

=====

Record 13
4
Lattice="1.637 -2.341 0.000 1.637 2.341 0.000 0.000 0.000 9.232" Properties=species:S:1:pos:R:3 comment="YOsW2 PBE optimized geometry" polymorph_energy_ev_per_fu=0.67 formation_energy_mev_per_atom=403 magmom_total_mub_per_atom=0.0000 pbc="T T T"
Y 0.000 0.000 0.000
Os 1.637 0.000 2.397
W 0.000 0.000 4.476
W 1.637 0.000 6.619

=====

Record 14
6
Lattice="2.146 -6.939 0.000 2.146 6.939 0.000 0.000 0.000 4.492" Properties=species:S:1:pos:R:3 comment="YOsW PBE optimized geometry" polymorph_energy_ev_per_fu=1.13 formation_energy_mev_per_atom=206 magmom_total_mub_per_atom=0.0000 pbc="T T T"
Y 2.146 5.743 3.369
Y 2.146 -5.743 1.123
Os 2.146 2.189 3.369
Os 2.146 -2.189 1.123
W 2.146 3.464 1.123
W 2.146 -3.464 3.369

=====

Record 15
8
Lattice="-3.845 3.845 2.753 3.845 -3.845 2.753 3.845 3.845 -2.753" Properties=species:S:1:pos:R:3 comment="YOsW2 PBE optimized geometry" polymorph_energy_ev_per_fu=2.07 formation_energy_mev_per_atom=753 magmom_total_mub_per_atom=0.0000 pbc="T T T"
Y 0.000 0.000 0.000
Y 0.000 3.845 1.376
Os 3.845 0.000 1.376
Os 0.000 0.000 2.753
W 1.923 2.350 -0.688
W 5.341 1.923 0.688
W 1.923 1.496 2.065
W -1.496 1.923 3.441

=====

Record 16
3
Lattice="0.000 3.205 3.205 3.205 0.000 3.205 3.205 3.205 0.000" Properties=species:S:1:pos:R:3 comment="YOsW PBE optimized geometry" polymorph_energy_ev_per_fu=6.25 formation_energy_mev_per_atom=1913 magmom_total_mub_per_atom=0.5386 pbc="T T T"
Y 0.000 0.000 0.000
Os 1.603 1.603 1.603
W 4.808 4.808 4.808

=====

Record 17
5
Lattice="4.819 0.000 0.000 0.000 4.819 0.000 0.000 0.000 4.819" Properties=species:S:1:pos:R:3 comment="YOsW3 PBE optimized geometry" polymorph_energy_ev_per_fu=0.00 formation_energy_mev_per_atom=1392 magmom_total_mub_per_atom=0.0000 pbc="T T T"
Y 0.000 0.000 0.000
Os 2.410 2.410 2.410
W 0.000 2.410 2.410
W 2.410 0.000 2.410
W 2.410 2.410 0.000

=====

Record 18
4
Lattice="2.892 0.000 0.000 0.000 4.629 0.000 -1.068 0.000 5.252" Properties=species:S:1:pos:R:3 comment="YOsW2 PBE optimized geometry" polymorph_energy_ev_per_fu=0.74 formation_energy_mev_per_atom=419 magmom_total_mub_per_atom=0.0000 pbc="T T T"
Y 0.000 0.000 0.000
Os 0.912 0.000 2.626
W -0.027 2.314 3.893
W 1.851 2.314 1.359

=====

Record 19
4
Lattice="0.000 3.269 3.269 3.269 0.000 3.269 3.269 3.269 0.000" Properties=species:S:1:pos:R:3 comment="YOsW2 PBE optimized geometry" polymorph_energy_ev_per_fu=0.26 formation_energy_mev_per_atom=299 magmom_total_mub_per_atom=0.0000 pbc="T T T"
Y 0.000 0.000 0.000
Os 4.903 4.903 4.903
W 1.634 1.634 1.634
W 3.269 3.269 3.269

=====

Record 20
4
Lattice="1.458 0.842 9.724 -1.458 0.842 9.724 0.000 -1.684 9.724" Properties=species:S:1:pos:R:3 comment="YOsW2 PBE optimized geometry" polymorph_energy_ev_per_fu=1.39 formation_energy_mev_per_atom=582 magmom_total_mub_per_atom=0.0001 pbc="T T T"
Y 0.000 0.000 0.000
Os 0.000 0.000 14.585
W 0.000 0.000 7.027
W 0.000 0.000 22.143

=====

Record 21
4
Lattice="5.218 -1.594 0.000 5.218 1.594 0.000 -2.239 0.000 4.304" Properties=species:S:1:pos:R:3 comment="YOsW2 PBE optimized geometry" polymorph_energy_ev_per_fu=0.69 formation_energy_mev_per_atom=407 magmom_total_mub_per_atom=0.0000 pbc="T T T"
Y 0.000 0.000 0.000
Os 0.808 0.000 3.160
W 4.119 0.000 2.163
W 7.453 0.000 1.179

=====

Record 22
5
Lattice="5.307 0.000 0.000 0.000 5.307 0.000 0.000 0.000 5.307" Properties=species:S:1:pos:R:3 comment="Y3OsW PBE optimized geometry" polymorph_energy_ev_per_fu=0.00 formation_energy_mev_per_atom=877 magmom_total_mub_per_atom=0.7795 pbc="T T T"
Y 0.000 0.000 2.653
Y 0.000 2.653 0.000
Y 2.653 0.000 0.000
Os 0.000 0.000 0.000
W 2.653 2.653 2.653

=====

Record 23
4
Lattice="3.221 0.000 0.000 0.000 3.221 0.000 0.000 0.000 7.021" Properties=species:S:1:pos:R:3 comment="YOsW2 PBE optimized geometry" polymorph_energy_ev_per_fu=0.00 formation_energy_mev_per_atom=235 magmom_total_mub_per_atom=0.0000 pbc="T T T"
Y 0.000 0.000 0.000
Os 1.611 1.611 2.000
W 0.000 0.000 3.483
W 1.611 1.611 4.980

=====

Record 24
4
Lattice="3.225 0.000 0.000 0.000 4.563 0.000 0.000 0.000 4.804" Properties=species:S:1:pos:R:3 comment="YOsW2 PBE optimized geometry" polymorph_energy_ev_per_fu=0.50 formation_energy_mev_per_atom=359 magmom_total_mub_per_atom=0.0000 pbc="T T T"
Y 0.000 0.000 0.000
Os 1.612 2.282 0.000
W 0.000 2.282 2.402
W 1.612 0.000 2.402

=====

Record 25
4
Lattice="2.768 -4.674 0.000 2.768 4.674 0.000 -0.929 0.000 2.702" Properties=species:S:1:pos:R:3 comment="YOsW2 PBE optimized geometry" polymorph_energy_ev_per_fu=0.79 formation_energy_mev_per_atom=432 magmom_total_mub_per_atom=0.0000 pbc="T T T"
Y 0.000 0.000 0.000
Os 2.768 0.000 0.000
W 0.919 2.337 1.351
W 0.919 -2.337 1.351

=====

Record 26
4
Lattice="1.459 0.842 9.692 -1.459 0.842 9.692 0.000 -1.685 9.692" Properties=species:S:1:pos:R:3 comment="YOsW2 PBE optimized geometry" polymorph_energy_ev_per_fu=1.26 formation_energy_mev_per_atom=550 magmom_total_mub_per_atom=0.0000 pbc="T T T"
Y 0.000 0.000 0.000
Os 0.000 0.000 21.984
W 0.000 0.000 7.020
W 0.000 0.000 14.364

=====

Record 27
3
Lattice="4.495 0.000 0.000 -2.247 3.892 0.000 0.000 0.000 3.335" Properties=species:S:1:pos:R:3 comment="YOsW PBE optimized geometry" polymorph_energy_ev_per_fu=1.60 formation_energy_mev_per_atom=363 magmom_total_mub_per_atom=0.0000 pbc="T T T"
Y 0.000 0.000 0.000
Os 2.247 1.297 1.444
W 0.000 2.595 1.866

=====

Record 28
4
Lattice="2.914 0.000 0.000 0.000 4.426 0.000 -0.976 0.000 5.560" Properties=species:S:1:pos:R:3 comment="YOsW2 PBE optimized geometry" polymorph_energy_ev_per_fu=0.61 formation_energy_mev_per_atom=388 magmom_total_mub_per_atom=0.0000 pbc="T T T"
Y 0.000 0.000 0.000
Os 1.894 2.213 1.507
W 0.091 2.213 3.949
W 0.945 0.000 2.745

=====

Record 29
4
Lattice="2.699 -4.694 0.000 2.699 4.694 0.000 0.000 0.000 2.815" Properties=species:S:1:pos:R:3 comment="YOsW2 PBE optimized geometry" polymorph_energy_ev_per_fu=1.62 formation_energy_mev_per_atom=639 magmom_total_mub_per_atom=0.0000 pbc="T T T"
Y 0.000 0.000 0.000
Os 2.699 0.000 0.000
W 1.349 2.347 1.408
W 1.349 -2.347 1.408